Density functional theory data (PBE) for a geometry-optimized NaLa2CuO structure.

Results
The value obtained for the uncorrected formation energy is -978 meV/atom. The calculated volume is 113 Å³ per cell. As for the uncorrected energy: -0.3692 Ry per atom. As for the space-group type: P4/mmm (123).

Lattice parameters (Å, degrees): 4.9633 4.9633 4.6072 90.00 90.00 90.00
Element x y z (fractional)
Na  0.0000  0.0000  0.5000
O  0.0000  0.0000  0.0000
Cu  0.5000  0.5000  0.5000
La  0.0000  0.5000  0.0000
La  0.5000  0.0000  0.0000